Record 1
Here is a relaxed structure of PAu3 from Alexandria via LeMat-Bulk. Energies are from PBEsol.

DOS(E_F): 1.2 states/eV/f.u.
space group: R-3m, No. 166
formation enthalpy at 0 K: 0.2759 eV/atom
spin magnetization: 0.00 μB/atom

Cell lengths 5.3439, 5.3439, 5.3439 Å; angles 117.05, 117.05, 117.05 degrees
Fractional positions:
P 0.0000 0.0000 0.0000
Au 0.0000 0.5000 0.5000
Au 0.5000 0.0000 0.5000
Au 0.5000 0.5000 0.0000

***

Record 2
Here is a relaxed structure of AsIrPt2 from Alexandria via LeMat-Bulk. Energies are from PBEsol.

DOS(E_F): 2.7 states/eV/f.u.
space group: Cm, No. 8
formation enthalpy at 0 K: 0.0788 eV/atom
spin magnetization: 0.00 μB/atom

Cell lengths 5.3314, 5.3314, 4.6425 Å; angles 115.05, 115.05, 30.61 degrees
Fractional positions:
As 0.0000 0.0000 0.0000
Ir 0.2811 0.2811 0.6926
Pt 0.5179 0.5179 0.5076
Pt 0.7460 0.7460 0.1614

***

Record 3
Here is a relaxed structure of K2MnW from Alexandria via LeMat-Bulk. Energies are from PBEsol.

DOS(E_F): 3.3 states/eV/f.u.
space group: Immm, No. 71
formation enthalpy at 0 K: 0.9982 eV/atom
spin magnetization: 0.34 μB/atom

Cell lengths 10.5692, 10.5692, 10.5692 Å; angles 163.92, 158.87, 26.67 degrees
Fractional positions:
K 0.1478 0.1478 0.0000
K 0.8522 0.8522 0.0000
Mn 0.0000 0.5000 0.5000
W 0.5000 0.0000 0.5000

***

Record 4
Here is a relaxed structure of Er3CrS6 from Alexandria via LeMat-Bulk. Energies are from PBEsol.

formation energy (no corrections): -1786 meV/atom
DOS(E_F): 0.5 states/eV/f.u.
space group: Pnnm, No. 58
spin magnetization: 0.30 μB/atom

Cell lengths 13.0030, 15.5815, 3.6888 Å; angles 90.00, 90.00, 90.00 degrees
Fractional positions:
Er 0.0521 0.2214 0.0000
Er 0.1798 0.6480 0.0000
Er 0.2412 0.9031 0.5000
Er 0.2588 0.4031 0.0000
Er 0.3202 0.1480 0.5000
Er 0.4479 0.7214 0.5000
Er 0.5521 0.2786 0.5000
Er 0.6798 0.8520 0.5000
Er 0.7412 0.5969 0.0000
Er 0.7588 0.0969 0.5000
Er 0.8202 0.3520 0.0000
Er 0.9479 0.7786 0.0000
Cr 0.0000 0.0000 0.5000
Cr 0.0000 0.5000 0.5000
Cr 0.5000 0.0000 0.0000
Cr 0.5000 0.5000 0.0000
S 0.0239 0.4022 0.0000
S 0.0806 0.9237 0.0000
S 0.1021 0.7548 0.5000
S 0.1220 0.1077 0.5000
S 0.1811 0.5204 0.5000
S 0.1899 0.2900 0.5000
S 0.3101 0.7900 0.0000
S 0.3189 0.0204 0.0000
S 0.3780 0.6077 0.0000
S 0.3979 0.2548 0.0000
S 0.4194 0.4237 0.5000
S 0.4761 0.9022 0.5000
S 0.5239 0.0978 0.5000
S 0.5806 0.5763 0.5000
S 0.6021 0.7452 0.0000
S 0.6220 0.3923 0.0000
S 0.6811 0.9796 0.0000
S 0.6899 0.2100 0.0000
S 0.8101 0.7100 0.5000
S 0.8189 0.4796 0.5000
S 0.8780 0.8923 0.5000
S 0.8979 0.2452 0.5000
S 0.9194 0.0763 0.0000
S 0.9761 0.5978 0.0000

***

Record 5
Here is a relaxed structure of ZrCd2Re from Alexandria via LeMat-Bulk. Energies are from PBEsol.

DOS(E_F): 2.6 states/eV/f.u.
space group: P4mm, No. 99
formation enthalpy at 0 K: 0.1552 eV/atom
spin magnetization: 0.00 μB/atom

Cell lengths 3.4199, 3.4199, 6.4760 Å; angles 90.00, 90.00, 90.00 degrees
Fractional positions:
Zr 0.0000 0.0000 0.0000
Cd 0.0000 0.0000 0.5432
Cd 0.5000 0.5000 0.2961
Re 0.5000 0.5000 0.8083

***

Record 6
Here is a relaxed structure of Y2PbBr from Alexandria via LeMat-Bulk. Energies are from PBEsol.

formation energy (no corrections): -75 meV/atom
DOS(E_F): 3.9 states/eV/f.u.
space group: F-43m, No. 216
spin magnetization: 0.18 μB/atom

Cell lengths 5.3601, 5.3601, 5.3601 Å; angles 60.00, 60.00, 60.00 degrees
Fractional positions:
Y 0.0000 0.0000 0.0000
Y 0.2500 0.2500 0.2500
Pb 0.7500 0.7500 0.7500
Br 0.5000 0.5000 0.5000

***

Record 7
Here is a relaxed structure of TlTcCl2 from Alexandria via LeMat-Bulk. Energies are from PBEsol.

formation energy (no corrections): -38 meV/atom
DOS(E_F): 2.8 states/eV/f.u.
space group: Cmmm, No. 65
spin magnetization: 0.00 μB/atom

Cell lengths 3.2461, 3.2461, 9.3180 Å; angles 90.00, 90.00, 124.47 degrees
Fractional positions:
Tl 0.0000 0.0000 0.0000
Tc 0.0000 0.0000 0.5000
Cl 0.5000 0.5000 0.3043
Cl 0.5000 0.5000 0.6957

***

Record 8
Here is a relaxed structure of Zr2Ga2Ir from Alexandria via LeMat-Bulk. Energies are from PBEsol.

DOS(E_F): 2.5 states/eV/f.u.
space group: P4/mbm, No. 127
formation enthalpy at 0 K: -0.7639 eV/atom
spin magnetization: 0.00 μB/atom

Cell lengths 6.5509, 6.5509, 3.9849 Å; angles 90.00, 90.00, 90.00 degrees
Fractional positions:
Zr 0.1734 0.3266 0.0000
Zr 0.3266 0.8266 0.0000
Zr 0.6734 0.1734 0.0000
Zr 0.8266 0.6734 0.0000
Ga 0.1327 0.6327 0.5000
Ga 0.3673 0.1327 0.5000
Ga 0.6327 0.8673 0.5000
Ga 0.8673 0.3673 0.5000
Ir 0.0000 0.0000 0.5000
Ir 0.5000 0.5000 0.5000

***

Record 9
Here is a relaxed structure of Zn2IrPb from Alexandria via LeMat-Bulk. Energies are from PBEsol.

DOS(E_F): 2.0 states/eV/f.u.
space group: C2/m, No. 12
formation enthalpy at 0 K: 0.1939 eV/atom
spin magnetization: 0.00 μB/atom

Cell lengths 4.7119, 4.7119, 4.5564 Å; angles 106.58, 106.58, 46.74 degrees
Fractional positions:
Zn 0.2272 0.2272 0.1664
Zn 0.7728 0.7728 0.8336
Ir 0.5000 0.5000 0.0000
Pb 0.0000 0.0000 0.5000

***

Record 10
Here is a relaxed structure of CaHg3 from Alexandria via LeMat-Bulk. Energies are from PBEsol.

DOS(E_F): 1.8 states/eV/f.u.
space group: I4/mmm, No. 139
formation enthalpy at 0 K: -0.4316 eV/atom
spin magnetization: 0.00 μB/atom

Cell lengths 9.5425, 9.5425, 9.5425 Å; angles 152.18, 152.18, 39.75 degrees
Fractional positions:
Ca 0.1255 0.1255 0.0000
Ca 0.8745 0.8745 0.0000
Hg 0.0000 0.5000 0.5000
Hg 0.2500 0.7500 0.5000
Hg 0.3753 0.3753 0.0000
Hg 0.5000 0.0000 0.5000
Hg 0.6247 0.6247 0.0000
Hg 0.7500 0.2500 0.5000

***

Record 11
Here is a relaxed structure of LiHg2Se from Alexandria via LeMat-Bulk. Energies are from PBEsol.

formation energy (no corrections): -293 meV/atom
DOS(E_F): 1.2 states/eV/f.u.
space group: C2/m, No. 12
spin magnetization: 0.00 μB/atom

Cell lengths 6.6268, 6.6268, 3.1206 Å; angles 103.20, 103.20, 130.47 degrees
Fractional positions:
Li 0.0000 0.0000 0.0000
Hg 0.0000 0.5000 0.0000
Hg 0.5000 0.0000 0.0000
Se 0.5000 0.5000 0.0000

***

Record 12
Here is a relaxed structure of GaP3Br from Alexandria via LeMat-Bulk. Energies are from PBEsol.

formation energy (no corrections): 1400 meV/atom
DOS(E_F): 6.1 states/eV/f.u.
space group: Pm-3m, No. 221
spin magnetization: 0.00 μB/atom

Cell lengths 4.8224, 4.8224, 4.8224 Å; angles 90.00, 90.00, 90.00 degrees
Fractional positions:
Ga 0.0000 0.0000 0.0000
P 0.0000 0.5000 0.5000
P 0.5000 0.0000 0.5000
P 0.5000 0.5000 0.0000
Br 0.5000 0.5000 0.5000

***

Record 13
Here is a relaxed structure of Cu2TeAs from Alexandria via LeMat-Bulk. Energies are from PBEsol.

formation energy (no corrections): 210 meV/atom
DOS(E_F): 1.5 states/eV/f.u.
space group: Cmmm, No. 65
spin magnetization: 0.00 μB/atom

Cell lengths 4.4461, 4.4461, 3.7871 Å; angles 90.00, 90.00, 101.06 degrees
Fractional positions:
Cu 0.2245 0.7755 0.0000
Cu 0.7755 0.2245 0.0000
Te 0.5000 0.5000 0.5000
As 0.0000 0.0000 0.5000